Model 1:
The following is a DFT calculation (GGA+U) of MoBrO2 after structural relaxation.

Geometry as CIF:
```
data_MoBrO2
_chemical_formula_sum 'Mo3 Br3 O6'
_symmetry_space_group_name_H-M 'R -3 m'
_symmetry_Int_Tables_number 166
_symmetry_space_group_name_Hall '-R 3 2"'
_cell_length_a 2.9894
_cell_length_b 2.9894
_cell_length_c 23.9994
_cell_angle_alpha 90.00
_cell_angle_beta 90.00
_cell_angle_gamma 120.00
loop_
_atom_site_label
_atom_site_type_symbol
_atom_site_fract_x
_atom_site_fract_y
_atom_site_fract_z
Mo1 Mo 0.0000 0.0000 0.0000
Br1 Br 0.0000 0.0000 0.5000
O1 O 0.0000 0.0000 0.0749
```

=====

Model 2:
The following is a DFT calculation (GGA+U) of MoBrO2 after structural relaxation.

Geometry as CIF:
```
data_MoBrO2
_chemical_formula_sum 'Mo4 Br4 O8'
_symmetry_space_group_name_H-M 'F m -3 m'
_symmetry_Int_Tables_number 225
_symmetry_space_group_name_Hall '-F 4 2 3'
_cell_length_a 5.8876
_cell_length_b 5.8876
_cell_length_c 5.8876
_cell_angle_alpha 90.00
_cell_angle_beta 90.00
_cell_angle_gamma 90.00
loop_
_atom_site_label
_atom_site_type_symbol
_atom_site_fract_x
_atom_site_fract_y
_atom_site_fract_z
Mo1 Mo 0.0000 0.0000 0.0000
Br1 Br 0.0000 0.0000 0.5000
O1 O 0.2500 0.2500 0.2500
```

=====

Model 3:
The following is a DFT calculation (GGA+U) of MoBrO2 after structural relaxation.

Geometry as CIF:
```
data_MoBrO2
_chemical_formula_sum 'Mo4 Br4 O8'
_symmetry_space_group_name_H-M 'P 1 21/c 1'
_symmetry_Int_Tables_number 14
_symmetry_space_group_name_Hall '-P 2ybc'
_cell_length_a 5.3288
_cell_length_b 6.2173
_cell_length_c 11.6202
_cell_angle_alpha 90.00
_cell_angle_beta 117.29
_cell_angle_gamma 90.00
loop_
_atom_site_label
_atom_site_type_symbol
_atom_site_fract_x
_atom_site_fract_y
_atom_site_fract_z
Mo1 Mo 0.1820 0.9997 0.4320
Br1 Br 0.2052 0.2495 0.2498
O1 O 0.1154 0.6648 0.0645
O2 O 0.4867 0.6648 0.9356
```

=====

Model 4:
The following is a DFT calculation (GGA+U) of MoBrO2 after structural relaxation.

Geometry as CIF:
```
data_MoBrO2
_chemical_formula_sum 'Mo3 Br3 O6'
_symmetry_space_group_name_H-M 'R -3 m'
_symmetry_Int_Tables_number 166
_symmetry_space_group_name_Hall '-R 3 2"'
_cell_length_a 3.1213
_cell_length_b 3.1213
_cell_length_c 25.9674
_cell_angle_alpha 90.00
_cell_angle_beta 90.00
_cell_angle_gamma 120.00
loop_
_atom_site_label
_atom_site_type_symbol
_atom_site_fract_x
_atom_site_fract_y
_atom_site_fract_z
Mo1 Mo 0.0000 0.0000 0.0000
Br1 Br 0.0000 0.0000 0.5000
O1 O 0.0000 0.0000 0.3731
```

=====

Which is most stable, and by how much? model 3, by 0.101 eV/atom.